## FeCuPt (PBEsol)

Data for FeCuPt after structural relaxation.

```
data_FeCuPt
_chemical_formula_sum 'Fe4 Cu4 Pt4'
_cell_length_a 5.614
_cell_length_b 5.614
_cell_length_c 5.614
_cell_angle_alpha 90.00
_cell_angle_beta 90.00
_cell_angle_gamma 90.00
_symmetry_space_group_name_H-M 'P 1'
_symmetry_Int_Tables_number 1
_symmetry_space_group_name_Hall 'P 1'
loop_
_atom_site_label
_atom_site_type_symbol
_atom_site_fract_x
_atom_site_fract_y
_atom_site_fract_z
Fe1 Fe 0.000 0.000 0.000
Fe2 Fe 0.000 0.500 0.500
Fe3 Fe 0.500 0.000 0.500
Fe4 Fe 0.500 0.500 0.000
Cu1 Cu 0.250 0.250 0.250
Cu2 Cu 0.250 0.750 0.750
Cu3 Cu 0.750 0.250 0.750
Cu4 Cu 0.750 0.750 0.250
Pt1 Pt 0.000 0.000 0.500
Pt2 Pt 0.000 0.500 0.000
Pt3 Pt 0.500 0.000 0.000
Pt4 Pt 0.500 0.500 0.500
```

Calculated values
**Total energy**: -19.0 eV per formula unit
**Energy of formation**: 10.01 kcal/mol of atoms
**SG**: No. 216


## Fe2CuPt (PBEsol)

Data for Fe2CuPt after structural relaxation.

```
data_Fe2CuPt
_chemical_formula_sum 'Fe4 Cu2 Pt2'
_cell_length_a 5.103
_cell_length_b 7.464
_cell_length_c 2.607
_cell_angle_alpha 90.00
_cell_angle_beta 90.00
_cell_angle_gamma 90.00
_symmetry_space_group_name_H-M 'P 1'
_symmetry_Int_Tables_number 1
_symmetry_space_group_name_Hall 'P 1'
loop_
_atom_site_label
_atom_site_type_symbol
_atom_site_fract_x
_atom_site_fract_y
_atom_site_fract_z
Fe1 Fe 0.250 0.250 0.000
Fe2 Fe 0.250 0.750 0.000
Fe3 Fe 0.750 0.250 0.000
Fe4 Fe 0.750 0.750 0.000
Cu1 Cu 0.000 0.000 0.500
Cu2 Cu 0.500 0.500 0.500
Pt1 Pt 0.000 0.500 0.500
Pt2 Pt 0.500 0.000 0.500
```

Calculated values
**Total energy**: -29.3 eV per formula unit
**Energy of formation**: -0.58 kcal/mol of atoms
**SG**: No. 65


## Fe2CuPt (PBEsol)

Data for Fe2CuPt after structural relaxation.

```
data_Fe2CuPt
_chemical_formula_sum 'Fe4 Cu2 Pt2'
_cell_length_a 3.625
_cell_length_b 3.625
_cell_length_c 7.551
_cell_angle_alpha 90.00
_cell_angle_beta 90.00
_cell_angle_gamma 90.00
_symmetry_space_group_name_H-M 'P 1'
_symmetry_Int_Tables_number 1
_symmetry_space_group_name_Hall 'P 1'
loop_
_atom_site_label
_atom_site_type_symbol
_atom_site_fract_x
_atom_site_fract_y
_atom_site_fract_z
Fe1 Fe 0.000 0.500 0.250
Fe2 Fe 0.000 0.500 0.750
Fe3 Fe 0.500 0.000 0.250
Fe4 Fe 0.500 0.000 0.750
Cu1 Cu 0.000 0.000 0.000
Cu2 Cu 0.500 0.500 0.500
Pt1 Pt 0.000 0.000 0.500
Pt2 Pt 0.500 0.500 0.000
```

Calculated values
**Total energy**: -29.3 eV per formula unit
**Energy of formation**: -0.59 kcal/mol of atoms
**SG**: No. 139


## FeCuPt (PBEsol)

Data for FeCuPt after structural relaxation.

```
data_FeCuPt
_chemical_formula_sum 'Fe2 Cu2 Pt2'
_cell_length_a 2.679
_cell_length_b 2.679
_cell_length_c 10.610
_cell_angle_alpha 90.00
_cell_angle_beta 90.00
_cell_angle_gamma 90.00
_symmetry_space_group_name_H-M 'P 1'
_symmetry_Int_Tables_number 1
_symmetry_space_group_name_Hall 'P 1'
loop_
_atom_site_label
_atom_site_type_symbol
_atom_site_fract_x
_atom_site_fract_y
_atom_site_fract_z
Fe1 Fe 0.000 0.000 0.000
Fe2 Fe 0.500 0.500 0.500
Cu1 Cu 0.000 0.000 0.657
Cu2 Cu 0.500 0.500 0.157
Pt1 Pt 0.000 0.000 0.331
Pt2 Pt 0.500 0.500 0.831
```

Calculated values
**Total energy**: -20.4 eV per formula unit
**Energy of formation**: -1.06 kcal/mol of atoms
**SG**: No. 107


## Fe2CuPt (PBEsol)

Data for Fe2CuPt after structural relaxation.

```
data_Fe2CuPt
_chemical_formula_sum 'Fe2 Cu1 Pt1'
_cell_length_a 2.894
_cell_length_b 2.894
_cell_length_c 5.883
_cell_angle_alpha 90.00
_cell_angle_beta 90.00
_cell_angle_gamma 90.00
_symmetry_space_group_name_H-M 'P 1'
_symmetry_Int_Tables_number 1
_symmetry_space_group_name_Hall 'P 1'
loop_
_atom_site_label
_atom_site_type_symbol
_atom_site_fract_x
_atom_site_fract_y
_atom_site_fract_z
Fe1 Fe 0.000 0.000 0.000
Fe2 Fe 0.500 0.500 0.225
Cu1 Cu 0.500 0.500 0.768
Pt1 Pt 0.000 0.000 0.495
```

Calculated values
**Total energy**: -29.2 eV per formula unit
**Energy of formation**: 0.20 kcal/mol of atoms
**SG**: No. 99


## FeCu2Re (PBEsol)

Data for FeCu2Re after structural relaxation.

```
data_FeCu2Re
_chemical_formula_sum 'Fe1 Cu2 Re1'
_cell_length_a 4.400
_cell_length_b 4.400
_cell_length_c 2.571
_cell_angle_alpha 90.00
_cell_angle_beta 90.00
_cell_angle_gamma 90.00
_symmetry_space_group_name_H-M 'P 1'
_symmetry_Int_Tables_number 1
_symmetry_space_group_name_Hall 'P 1'
loop_
_atom_site_label
_atom_site_type_symbol
_atom_site_fract_x
_atom_site_fract_y
_atom_site_fract_z
Fe1 Fe 0.000 0.000 0.000
Cu1 Cu 0.000 0.500 0.500
Cu2 Cu 0.500 0.000 0.500
Re1 Re 0.500 0.500 0.000
```

Calculated values
**Total energy**: -29.2 eV per formula unit
**Energy of formation**: 10.42 kcal/mol of atoms
**SG**: No. 123


## Fe2CuRe (PBEsol)

Data for Fe2CuRe after structural relaxation.

```
data_Fe2CuRe
_chemical_formula_sum 'Fe2 Cu1 Re1'
_cell_length_a 2.585
_cell_length_b 3.553
_cell_length_c 5.079
_cell_angle_alpha 90.00
_cell_angle_beta 90.00
_cell_angle_gamma 90.00
_symmetry_space_group_name_H-M 'P 1'
_symmetry_Int_Tables_number 1
_symmetry_space_group_name_Hall 'P 1'
loop_
_atom_site_label
_atom_site_type_symbol
_atom_site_fract_x
_atom_site_fract_y
_atom_site_fract_z
Fe1 Fe 0.000 0.000 0.245
Fe2 Fe 0.000 0.000 0.755
Cu1 Cu 0.500 0.500 0.000
Re1 Re 0.500 0.500 0.500
```

Calculated values
**Total energy**: -34.9 eV per formula unit
**Energy of formation**: 4.25 kcal/mol of atoms
**SG**: No. 47


## FeCuRe2 (PBEsol)

Data for FeCuRe2 after structural relaxation.

```
data_FeCuRe2
_chemical_formula_sum 'Fe4 Cu4 Re8'
_cell_length_a 5.894
_cell_length_b 5.894
_cell_length_c 5.894
_cell_angle_alpha 90.00
_cell_angle_beta 90.00
_cell_angle_gamma 90.00
_symmetry_space_group_name_H-M 'P 1'
_symmetry_Int_Tables_number 1
_symmetry_space_group_name_Hall 'P 1'
loop_
_atom_site_label
_atom_site_type_symbol
_atom_site_fract_x
_atom_site_fract_y
_atom_site_fract_z
Fe1 Fe 0.000 0.000 0.000
Fe2 Fe 0.000 0.500 0.500
Fe3 Fe 0.500 0.000 0.500
Fe4 Fe 0.500 0.500 0.000
Cu1 Cu 0.000 0.000 0.500
Cu2 Cu 0.000 0.500 0.000
Cu3 Cu 0.500 0.000 0.000
Cu4 Cu 0.500 0.500 0.500
Re1 Re 0.250 0.250 0.250
Re2 Re 0.250 0.250 0.750
Re3 Re 0.250 0.750 0.250
Re4 Re 0.250 0.750 0.750
Re5 Re 0.750 0.250 0.250
Re6 Re 0.750 0.250 0.750
Re7 Re 0.750 0.750 0.250
Re8 Re 0.750 0.750 0.750
```

Calculated values
**Total energy**: -38.5 eV per formula unit
**Energy of formation**: 8.56 kcal/mol of atoms
**SG**: No. 225


## FeCu2Re (PBEsol)

Data for FeCu2Re after structural relaxation.

```
data_FeCu2Re
_chemical_formula_sum 'Fe1 Cu2 Re1'
_cell_length_a 2.560
_cell_length_b 2.560
_cell_length_c 7.507
_cell_angle_alpha 90.00
_cell_angle_beta 90.00
_cell_angle_gamma 90.00
_symmetry_space_group_name_H-M 'P 1'
_symmetry_Int_Tables_number 1
_symmetry_space_group_name_Hall 'P 1'
loop_
_atom_site_label
_atom_site_type_symbol
_atom_site_fract_x
_atom_site_fract_y
_atom_site_fract_z
Fe1 Fe 0.000 0.000 0.000
Cu1 Cu 0.500 0.500 0.238
Cu2 Cu 0.500 0.500 0.762
Re1 Re 0.000 0.000 0.500
```

Calculated values
**Total energy**: -29.8 eV per formula unit
**Energy of formation**: 6.71 kcal/mol of atoms
**SG**: No. 123


## FeCuRe2 (PBEsol)

Data for FeCuRe2 after structural relaxation.

```
data_FeCuRe2
_chemical_formula_sum 'Fe2 Cu2 Re4'
_cell_length_a 3.032
_cell_length_b 4.226
_cell_length_c 8.314
_cell_angle_alpha 90.00
_cell_angle_beta 90.00
_cell_angle_gamma 90.00
_symmetry_space_group_name_H-M 'P 1'
_symmetry_Int_Tables_number 1
_symmetry_space_group_name_Hall 'P 1'
loop_
_atom_site_label
_atom_site_type_symbol
_atom_site_fract_x
_atom_site_fract_y
_atom_site_fract_z
Fe1 Fe 0.000 0.000 0.000
Fe2 Fe 0.500 0.500 0.000
Cu1 Cu 0.000 0.500 0.234
Cu2 Cu 0.500 0.000 0.234
Re1 Re 0.000 0.000 0.490
Re2 Re 0.000 0.500 0.757
Re3 Re 0.500 0.000 0.757
Re4 Re 0.500 0.500 0.490
```

Calculated values
**Total energy**: -38.8 eV per formula unit
**Energy of formation**: 6.88 kcal/mol of atoms
**SG**: No. 35


Repeat the tenth record exactly.
## FeCuRe2 (PBEsol)

Data for FeCuRe2 after structural relaxation.

```
data_FeCuRe2
_chemical_formula_sum 'Fe2 Cu2 Re4'
_cell_length_a 3.032
_cell_length_b 4.226
_cell_length_c 8.314
_cell_angle_alpha 90.00
_cell_angle_beta 90.00
_cell_angle_gamma 90.00
_symmetry_space_group_name_H-M 'P 1'
_symmetry_Int_Tables_number 1
_symmetry_space_group_name_Hall 'P 1'
loop_
_atom_site_label
_atom_site_type_symbol
_atom_site_fract_x
_atom_site_fract_y
_atom_site_fract_z
Fe1 Fe 0.000 0.000 0.000
Fe2 Fe 0.500 0.500 0.000
Cu1 Cu 0.000 0.500 0.234
Cu2 Cu 0.500 0.000 0.234
Re1 Re 0.000 0.000 0.490
Re2 Re 0.000 0.500 0.757
Re3 Re 0.500 0.000 0.757
Re4 Re 0.500 0.500 0.490
```

Calculated values
**Total energy**: -38.8 eV per formula unit
**Energy of formation**: 6.88 kcal/mol of atoms
**SG**: No. 35